(1)
VASP calculation (GGA-PBE) on crystalline VHg at its relaxed geometry.

The total magnetization is 0.0 μB per cell. The density of states at the Fermi level is 3.999 states/eV/cell. The energy relative to the elements is 271 meV per atom. As for the calculated total energy: -4.440 eV/atom.

The space group is P-1 (No. 2) and the conventional cell measures 2.922, 2.922 and 9.263 Å, with angles of 89.12, 88.97 and 67.02 degrees. The distinct sites, in fractional coordinates, are V at (0.249, 0.250, 0.093) and Hg at (0.132, 0.126, 0.651).

(2)
VASP calculation (GGA-PBE) on crystalline Ac3NdBi4 at its relaxed geometry.

The total magnetization is 0.0 μB per cell. The density of states at the Fermi level is 1.667 states/eV/cell. The energy relative to the elements is -978 meV per atom. As for the calculated total energy: -5.056 eV/atom. The calculation puts the energy above the most stable polymorph in this dataset at 0 meV per atom.

The space group is Cmmm (No. 65) and the conventional cell measures 9.634, 13.613 and 4.818 Å, with angles of 90.00, 90.00 and 90.00 degrees. The distinct sites, in fractional coordinates, are Ac at (0.000, 0.000, 0.000), Ac at (0.250, 0.250, 0.500), Nd at (0.000, 0.500, 0.000), Bi at (0.000, 0.255, 0.000) and Bi at (0.241, 0.500, 0.500).

(3)
VASP calculation (GGA-PBE) on crystalline PrSm4Al4 at its relaxed geometry.

The total magnetization is 0.0 μB per cell. The density of states at the Fermi level is 17.169 states/eV/cell. The energy relative to the elements is -140 meV per atom. As for the calculated total energy: -4.431 eV/atom.

The space group is P4_2/n (No. 86, origin choice 2) and the conventional cell measures 8.906, 8.906 and 6.017 Å, with angles of 90.00, 90.00 and 90.00 degrees. The distinct sites, in fractional coordinates, are Pr at (0.250, 0.250, 0.250), Sm at (0.082, 0.824, 0.635) and Al at (0.057, 0.157, 0.841).

(4)
VASP calculation (GGA-PBE) on crystalline CaIn6Ag4 at its relaxed geometry.

The total magnetization is 0.0 μB per cell. The density of states at the Fermi level is 11.641 states/eV/cell. The energy relative to the elements is -68 meV per atom. As for the calculated total energy: -2.781 eV/atom.

The space group is I-42m (No. 121) and the conventional cell measures 7.267, 7.267 and 10.415 Å, with angles of 90.00, 90.00 and 90.00 degrees. The distinct sites, in fractional coordinates, are Ca at (0.000, 0.000, 0.000), In at (0.000, 0.500, 0.000), In at (0.177, 0.177, 0.288) and Ag at (0.175, 0.175, 0.571).